Entry 1:
YTeSeN2 | PBE | optimized geometry

Summary:
ρ: 4.81 g/cm3
ΔE_f (raw): 0.83 eV per atom
size of the total moment: 0.00 μB per formula unit
energy above the most stable polymorph in this dataset: 357 meV/atom

Structure (CIF):
```
data_YTeSeN2
_chemical_formula_sum 'Y1 Te1 Se1 N2'
_cell_length_a 4.3673
_cell_length_b 4.3673
_cell_length_c 5.8558
_cell_angle_alpha 90.00
_cell_angle_beta 90.00
_cell_angle_gamma 90.00
_space_group_name_H-M_alt 'P 1'
_space_group_IT_number 1
loop_
_space_group_symop_operation_xyz
'x,y,z'
loop_
_atom_site_label
_atom_site_type_symbol
_atom_site_fract_x
_atom_site_fract_y
_atom_site_fract_z
_atom_site_occupancy
N1 N 0.5000 0.0000 0.0000 1
N2 N 0.0000 0.5000 0.0000 1
Y1 Y 0.0000 0.0000 0.0000 1
Se1 Se 0.0000 0.0000 0.5000 1
Te1 Te 0.5000 0.5000 0.5000 1
```

Entry 2:
HoPuThPa | PBE | optimized geometry

Summary:
ρ: 12.86 g/cm3
size of the total moment: 7.67 μB per formula unit
calculated formation energy: 1.2 eV per formula unit

Structure (CIF):
```
data_HoPuThPa
_chemical_formula_sum 'Ho1 Pu1 Th1 Pa1'
_cell_length_a 5.4195
_cell_length_b 5.4195
_cell_length_c 5.4195
_cell_angle_alpha 60.00
_cell_angle_beta 60.00
_cell_angle_gamma 60.00
_space_group_name_H-M_alt 'P 1'
_space_group_IT_number 1
loop_
_space_group_symop_operation_xyz
'x,y,z'
loop_
_atom_site_label
_atom_site_type_symbol
_atom_site_fract_x
_atom_site_fract_y
_atom_site_fract_z
_atom_site_occupancy
Ho1 Ho 0.5000 0.5000 0.5000 1
Pa1 Pa 0.0000 0.0000 0.0000 1
Th1 Th 0.7500 0.7500 0.7500 1
Pu1 Pu 0.2500 0.2500 0.2500 1
```

Entry 3:
Al2CoSe | PBE | optimized geometry

Summary:
ρ: 3.77 g/cm3
ΔE_f (raw): 0.17 eV per atom
size of the total moment: 0.00 μB per formula unit

Structure (CIF):
```
data_Al2CoSe
_chemical_formula_sum 'Al4 Co2 Se2'
_cell_length_a 5.9920
_cell_length_b 5.9920
_cell_length_c 6.3358
_cell_angle_alpha 61.78
_cell_angle_beta 61.78
_cell_angle_gamma 90.00
_space_group_name_H-M_alt 'P 1'
_space_group_IT_number 1
loop_
_space_group_symop_operation_xyz
'x,y,z'
loop_
_atom_site_label
_atom_site_type_symbol
_atom_site_fract_x
_atom_site_fract_y
_atom_site_fract_z
_atom_site_occupancy
Co1 Co 0.2500 0.7500 0.5000 1
Co2 Co 0.5000 0.5000 0.0000 1
Se1 Se 0.7500 0.2500 0.5000 1
Se2 Se 0.0000 0.0000 0.0000 1
Al1 Al 0.5971 0.1250 0.2500 1
Al2 Al 0.3750 0.4029 0.7500 1
Al3 Al 0.8750 0.8471 0.7500 1
Al4 Al 0.1529 0.6250 0.2500 1
```

Entry 4:
LiInNF2 | PBE | optimized geometry

Summary:
ρ: 5.33 g/cm3
ΔE_f (raw): -0.99 eV per atom
size of the total moment: 1.06 μB per formula unit
energy above the most stable polymorph in this dataset: 36 meV/atom

Structure (CIF):
```
data_LiInNF2
_chemical_formula_sum 'Li1 In1 N1 F2'
_cell_length_a 3.5259
_cell_length_b 3.5259
_cell_length_c 4.3545
_cell_angle_alpha 90.00
_cell_angle_beta 90.00
_cell_angle_gamma 90.00
_space_group_name_H-M_alt 'P 1'
_space_group_IT_number 1
loop_
_space_group_symop_operation_xyz
'x,y,z'
loop_
_atom_site_label
_atom_site_type_symbol
_atom_site_fract_x
_atom_site_fract_y
_atom_site_fract_z
_atom_site_occupancy
F1 F 0.5000 0.0000 0.0000 1
F2 F 0.0000 0.5000 0.0000 1
In1 In 0.5000 0.5000 0.5000 1
N1 N 0.0000 0.0000 0.5000 1
Li1 Li 0.0000 0.0000 0.0000 1
```

Entry 5:
KH11Rh5 | PBE | optimized geometry

Summary:
ρ: 5.41 g/cm3
size of the total moment: 0.00 μB per formula unit
raw total energy: -0.320 Ry per atom

Structure (CIF):
```
data_KH11Rh5
_chemical_formula_sum 'K1 H11 Rh5'
_cell_length_a 6.7675
_cell_length_b 5.5542
_cell_length_c 5.5542
_cell_angle_alpha 117.04
_cell_angle_beta 100.86
_cell_angle_gamma 100.86
_space_group_name_H-M_alt 'P 1'
_space_group_IT_number 1
loop_
_space_group_symop_operation_xyz
'x,y,z'
loop_
_atom_site_label
_atom_site_type_symbol
_atom_site_fract_x
_atom_site_fract_y
_atom_site_fract_z
_atom_site_occupancy
H1 H 0.6490 0.7469 0.1757 1
H2 H 0.8917 0.1743 0.4826 1
H3 H 0.3510 0.2531 0.8243 1
H4 H 0.2744 0.5275 0.5275 1
H5 H 0.1083 0.8257 0.5174 1
H6 H 0.5000 0.0000 0.0000 1
H7 H 0.3510 0.8243 0.2531 1
H8 H 0.8917 0.4826 0.1743 1
H9 H 0.1083 0.5174 0.8257 1
H10 H 0.6490 0.1757 0.7469 1
H11 H 0.7256 0.4725 0.4725 1
Rh1 Rh 0.6272 0.3855 0.0997 1
Rh2 Rh 0.6272 0.0997 0.3855 1
Rh3 Rh 0.0000 0.5000 0.5000 1
Rh4 Rh 0.3728 0.9003 0.6145 1
Rh5 Rh 0.3728 0.6145 0.9003 1
K1 K 0.0000 0.0000 0.0000 1
```

Entry 6:
Na2CdNi | PBE | optimized geometry

Summary:
ρ: 4.29 g/cm3
size of the total moment: 0.39 μB per formula unit
calculated formation energy: 1.9 eV per formula unit

Structure (CIF):
```
data_Na2CdNi
_chemical_formula_sum 'Na2 Cd1 Ni1'
_cell_length_a 2.9718
_cell_length_b 2.9718
_cell_length_c 11.1259
_cell_angle_alpha 82.33
_cell_angle_beta 82.33
_cell_angle_gamma 60.00
_space_group_name_H-M_alt 'P 1'
_space_group_IT_number 1
loop_
_space_group_symop_operation_xyz
'x,y,z'
loop_
_atom_site_label
_atom_site_type_symbol
_atom_site_fract_x
_atom_site_fract_y
_atom_site_fract_z
_atom_site_occupancy
Cd1 Cd 0.5000 0.5000 0.5000 1
Na1 Na 0.0798 0.0798 0.7605 1
Na2 Na 0.9202 0.9202 0.2395 1
Ni1 Ni 0.0000 0.0000 0.0000 1
```

Entry 7:
ScSi2Rh | PBE | optimized geometry

Summary:
ρ: 5.59 g/cm3
ΔE_f (raw): -0.55 eV per atom
size of the total moment: 0.00 μB per formula unit

Structure (CIF):
```
data_ScSi2Rh
_chemical_formula_sum 'Sc1 Si2 Rh1'
_cell_length_a 4.9524
_cell_length_b 4.9524
_cell_length_c 4.9524
_cell_angle_alpha 134.61
_cell_angle_beta 134.61
_cell_angle_gamma 66.14
_space_group_name_H-M_alt 'P 1'
_space_group_IT_number 1
loop_
_space_group_symop_operation_xyz
'x,y,z'
loop_
_atom_site_label
_atom_site_type_symbol
_atom_site_fract_x
_atom_site_fract_y
_atom_site_fract_z
_atom_site_occupancy
Si1 Si 0.0000 0.0000 0.0000 1
Si2 Si 0.2500 0.7500 0.5000 1
Sc1 Sc 0.7500 0.2500 0.5000 1
Rh1 Rh 0.5000 0.5000 0.0000 1
```

Entry 8:
TbNd12Ho7 | PBE | optimized geometry

Summary:
ρ: 7.32 g/cm3
size of the total moment: 0.00 μB per formula unit
calculated formation energy: 4.5 eV per formula unit
energy above the most stable polymorph in this dataset: 0 meV/atom

Structure (CIF):
```
data_TbNd12Ho7
_chemical_formula_sum 'Tb1 Nd12 Ho7'
_cell_length_a 8.8537
_cell_length_b 8.8537
_cell_length_c 8.8537
_cell_angle_alpha 86.75
_cell_angle_beta 86.75
_cell_angle_gamma 86.75
_space_group_name_H-M_alt 'P 1'
_space_group_IT_number 1
loop_
_space_group_symop_operation_xyz
'x,y,z'
loop_
_atom_site_label
_atom_site_type_symbol
_atom_site_fract_x
_atom_site_fract_y
_atom_site_fract_z
_atom_site_occupancy
Tb1 Tb 0.0000 0.0000 0.0000 1
Nd1 Nd 0.2445 0.6502 0.7740 1
Nd2 Nd 0.6534 0.5796 0.8988 1
Nd3 Nd 0.7555 0.3498 0.2260 1
Nd4 Nd 0.5796 0.8988 0.6534 1
Nd5 Nd 0.6502 0.7740 0.2445 1
Nd6 Nd 0.7740 0.2445 0.6502 1
Nd7 Nd 0.4204 0.1012 0.3466 1
Nd8 Nd 0.3498 0.2260 0.7555 1
Nd9 Nd 0.3466 0.4204 0.1012 1
Nd10 Nd 0.2260 0.7555 0.3498 1
Nd11 Nd 0.1012 0.3466 0.4204 1
Nd12 Nd 0.8988 0.6534 0.5796 1
Ho1 Ho 0.1149 0.9951 0.6383 1
Ho2 Ho 0.8851 0.0049 0.3617 1
Ho3 Ho 0.5000 0.5000 0.5000 1
Ho4 Ho 0.3617 0.8851 0.0049 1
Ho5 Ho 0.6383 0.1149 0.9951 1
Ho6 Ho 0.0049 0.3617 0.8851 1
Ho7 Ho 0.9951 0.6383 0.1149 1
```